Record 1
Computed, not measured: Ga2AuI6 after structural relaxation at the PBE level of DFT.

```
18
Lattice="-5.670 -4.798 2.116 6.138 -6.419 6.935 -2.796 5.291 9.548" Properties=species:S:1:pos:R:3 pbc="T T T"
I 1.131 -1.815 6.156
I 0.596 -3.310 11.028
I -2.924 -2.616 7.571
I -2.225 -2.306 2.897
I -1.773 1.242 6.691
I 2.697 -1.174 14.654
I -0.555 -7.168 11.908
I -0.786 -6.167 6.632
I -3.459 -4.111 12.443
I -1.542 0.241 11.968
I -0.103 -3.619 15.702
I -5.025 -4.752 3.945
Au -4.211 4.089 10.076
Au 1.883 -10.014 8.523
Ga -0.120 -0.821 10.163
Ga -1.517 -5.105 10.801
Ga -0.811 -0.821 7.798
Ga -2.208 -5.105 8.436
```

Properties
The calculation puts the formation energy without anion corrections at -0.305 eV/atom. The value obtained for the density is 3.80 Mg/m³. As for the energy above the most stable polymorph in this dataset: 0.003 eV/atom.

Record 2
Computed, not measured: Nd2GaS after structural relaxation at the PBE level of DFT.

```
4
Lattice="-1.351 2.604 -2.650 0.706 -0.551 -3.851 -6.878 -3.417 -2.801" Properties=species:S:1:pos:R:3 pbc="T T T"
Ga -3.778 -0.692 -4.652
S -7.283 -2.033 -7.132
Nd -5.419 -2.519 -2.662
Nd -1.682 -0.219 -2.307
```

Properties
The calculation puts the formation energy without anion corrections at -1.145 eV/atom. The value obtained for the density is 6.10 Mg/m³. As for the energy above the most stable polymorph in this dataset: 0.177 eV/atom.